[1]
4
Lattice="0.000 3.640 3.640 3.640 0.000 3.640 3.640 3.640 0.000" Properties=species:S:1:pos:R:3 comment="NaPmNdOs | the Alexandria database | PBE-GGA | relaxed" e_form_ev_per_fu=0.50 sg=F-43m pbc="T T T"
Na 0.000 0.000 0.000
Pm 5.460 5.460 5.460
Nd 1.820 1.820 1.820
Os 3.640 3.640 3.640

[2]
8
Lattice="-3.994 3.994 2.213 3.994 -3.994 2.213 3.994 3.994 -2.213" Properties=species:S:1:pos:R:3 comment="BeGa2Ge | the Alexandria database | PBE-GGA | relaxed" e_form_ev_per_fu=1.20 relative_energy_mev_per_atom=0 sg=I-42d pbc="T T T"
Be 0.000 0.000 0.000
Be 0.000 3.994 1.107
Ga 5.991 1.253 -0.553
Ga 1.253 1.997 0.553
Ga -1.997 2.741 1.660
Ga 2.741 1.997 2.766
Ge 3.994 0.000 1.107
Ge 0.000 0.000 2.213

[3]
5
Lattice="-1.721 1.721 6.006 1.721 -1.721 6.006 1.721 1.721 -6.006" Properties=species:S:1:pos:R:3 comment="Cu2Ni2Sn | the Alexandria database | PBE-GGA | relaxed" e_form_ev_per_fu=0.69 relative_energy_mev_per_atom=178 sg=I4/mmm pbc="T T T"
Cu 1.721 0.000 3.003
Cu 0.000 1.721 3.003
Ni 0.000 0.000 1.221
Ni 0.000 0.000 10.792
Sn 0.000 0.000 6.006

[4]
4
Lattice="0.000 3.843 3.843 3.843 0.000 3.843 3.843 3.843 0.000" Properties=species:S:1:pos:R:3 comment="TbDyHoCd | the Alexandria database | PBE-GGA | relaxed" e_form_ev_per_fu=-0.08 relative_energy_mev_per_atom=124 sg=F-43m pbc="T T T"
Tb 0.000 0.000 0.000
Dy 3.843 3.843 3.843
Ho 5.764 5.764 5.764
Cd 1.921 1.921 1.921

[5]
4
Lattice="5.290 -1.922 0.000 5.290 1.922 0.000 -2.080 0.000 5.103" Properties=species:S:1:pos:R:3 comment="CaTlSi2 | the Alexandria database | PBE-GGA | relaxed" formation_energy_uncorrected_ev_per_fu=-0.06 relative_energy_mev_per_atom=88 sg=C2/m pbc="T T T"
Ca 0.000 0.000 0.000
Tl 4.250 0.000 2.551
Si 0.950 0.000 4.513
Si 7.549 0.000 0.590

[6]
9
Lattice="4.557 0.000 0.000 -0.968 5.359 0.000 -0.616 -0.295 5.975" Properties=species:S:1:pos:R:3 comment="HgPClF6 | the Alexandria database | PBE-GGA | relaxed" formation_energy_uncorrected_ev_per_fu=-18.45 sg=P1 pbc="T T T"
Hg 0.000 0.000 0.000
P -0.690 2.128 3.513
Cl 1.329 4.804 0.752
F 0.290 1.343 2.473
F 0.301 1.646 4.790
F 0.166 3.484 3.389
F 3.021 0.721 3.758
F 2.885 2.554 2.316
F 2.879 2.852 4.632

[7]
18
Lattice="-3.371 3.371 7.539 3.371 -3.371 7.539 3.371 3.371 -7.539" Properties=species:S:1:pos:R:3 comment="TlPd5Au3 | the Alexandria database | PBE-GGA | relaxed" e_form_ev_per_fu=1.63 sg=I4/mcm pbc="T T T"
Tl 3.371 0.000 3.769
Tl 0.000 3.371 3.769
Pd 0.000 0.000 0.000
Pd 4.955 1.585 -2.290
Pd 1.585 1.786 -2.290
Pd 4.955 1.585 2.290
Pd 1.585 1.786 2.290
Pd 0.000 0.000 7.539
Pd 1.786 1.585 5.248
Pd -1.585 1.786 5.248
Pd 1.786 1.585 9.829
Pd -1.585 1.786 9.829
Au 2.475 0.896 0.000
Au 0.000 0.000 3.769
Au 2.475 -0.896 7.539
Au 0.896 4.267 0.000
Au 0.000 0.000 11.308
Au 0.896 2.475 7.539

[8]
5
Lattice="5.133 0.000 0.000 0.000 5.133 0.000 0.000 0.000 5.133" Properties=species:S:1:pos:R:3 comment="NdEr3B | the Alexandria database | PBE-GGA | relaxed" e_form_ev_per_fu=0.18 sg=Pm-3m pbc="T T T"
Nd 0.000 0.000 0.000
Er 0.000 2.567 2.567
Er 2.567 0.000 2.567
Er 2.567 2.567 0.000
B 2.567 2.567 2.567

[9]
18
Lattice="8.336 -5.838 0.000 8.336 5.838 0.000 -0.730 0.000 6.051" Properties=species:S:1:pos:R:3 comment="Nd2Sm3Ho4 | the Alexandria database | PBE-GGA | relaxed" e_form_ev_per_fu=0.85 relative_energy_mev_per_atom=76 sg=C2/c pbc="T T T"
Nd 6.028 4.468 4.354
Nd 9.549 4.468 4.722
Nd 6.393 -4.468 1.329
Nd 9.914 -4.468 1.696
Sm 8.154 4.119 1.513
Sm 5.304 1.757 2.495
Sm 4.939 -1.757 5.521
Sm 11.003 1.757 0.530
Sm 10.638 -1.757 3.555
Sm 7.789 -4.119 4.538
Ho 3.245 1.294 5.265
Ho 6.623 1.272 5.787
Ho 3.610 -1.294 2.239
Ho 8.955 1.272 3.289
Ho 6.988 -1.272 2.761
Ho 12.333 1.294 3.811
Ho 9.320 -1.272 0.264
Ho 12.698 -1.294 0.786

[10]
7
Lattice="5.955 -1.595 0.000 5.955 1.595 0.000 -2.587 0.000 4.928" Properties=species:S:1:pos:R:3 comment="Hf4N3 | the Alexandria database | PBE-GGA | relaxed" formation_energy_uncorrected_ev_per_fu=-10.59 relative_energy_mev_per_atom=8 sg=C2/m pbc="T T T"
Hf 0.332 0.000 2.233
Hf 4.364 0.000 0.162
Hf 4.958 0.000 4.766
Hf 8.990 0.000 2.695
N 0.000 0.000 0.000
N 2.420 0.000 1.270
N 6.902 0.000 3.658

[11]
16
Lattice="7.161 0.000 0.000 0.000 11.156 0.000 0.000 0.000 8.114" Properties=species:S:1:pos:R:3 comment="CsSnSe2 | the Alexandria database | PBE-GGA | relaxed" formation_energy_uncorrected_ev_per_fu=-2.97 sg=Pna2_1 pbc="T T T"
Cs 0.716 1.392 0.000
Cs 2.865 6.970 4.057
Cs 4.296 4.186 0.000
Cs 6.446 9.764 4.057
Sn 0.203 6.987 0.137
Sn 3.378 1.409 4.194
Sn 3.784 9.747 0.137
Sn 6.958 4.169 4.194
Se 0.678 4.832 1.567
Se 1.428 9.165 1.222
Se 2.152 3.587 5.280
Se 2.903 10.410 5.624
Se 4.258 0.746 1.567
Se 5.009 7.569 1.222
Se 5.733 1.991 5.280
Se 6.484 6.324 5.624

[12]
5
Lattice="5.812 0.000 0.000 0.000 5.812 0.000 0.000 0.000 5.812" Properties=species:S:1:pos:R:3 comment="YTe4 | the Alexandria database | PBE-GGA | relaxed" formation_energy_uncorrected_ev_per_fu=0.06 relative_energy_mev_per_atom=406 sg=Pm-3m pbc="T T T"
Y 0.000 0.000 0.000
Te 0.000 0.000 2.906
Te 0.000 2.906 0.000
Te 2.906 0.000 0.000
Te 2.906 2.906 2.906

What did we get for uncorrected energy? Answer: -21.6, -26.4, -23.1, -14.8, -15.3, -37.2, -73.1, -25.0, -82.3, -75.4, -59.2, -19.0 eV for the cell shown, in the order shown.
What did we get for spin magnetization? Answer: 0.0, 0.0, 0.0, 0.0, 0.0, 0.0, 0.0, 0.0, 0.0, 0.0, 0.0, 0.0 Bohr magnetons per cell, in the order shown.